--- i ---
# CoPbSeO | OQMD | PBE+U | optimized geometry
# magnetic moment: 3.00 μB per formula unit
data_CoPbSeO
_cell_length_a 3.9703
_cell_length_b 3.9703
_cell_length_c 12.1811
_cell_angle_alpha 90.00
_cell_angle_beta 90.00
_cell_angle_gamma 120.00
_space_group_name_H-M_alt 'P 63 m c'
_space_group_IT_number 186
_space_group_name_Hall 'P 6c -2c'
loop_
_atom_site_label
_atom_site_type_symbol
_atom_site_fract_x
_atom_site_fract_y
_atom_site_fract_z
Co1 Co 0.0000 0.0000 0.0000
Pb1 Pb 0.3333 0.6667 0.2285
Se1 Se 0.3333 0.6667 0.9245
O1 O 0.0000 0.0000 0.1560

--- ii ---
# CoPbSeO | OQMD | PBE+U | optimized geometry
# magnetic moment: 3.00 μB per formula unit
data_CoPbSeO
_cell_length_a 3.480
_cell_length_b 15.902
_cell_length_c 5.993
_cell_angle_alpha 90.00
_cell_angle_beta 90.00
_cell_angle_gamma 90.00
_space_group_name_H-M_alt 'C m c 21'
_space_group_IT_number 36
_space_group_name_Hall 'C 2c -2'
loop_
_atom_site_label
_atom_site_type_symbol
_atom_site_fract_x
_atom_site_fract_y
_atom_site_fract_z
Co1 Co 0.000 0.177 0.000
Pb1 Pb 0.000 0.431 0.083
Se1 Se 0.000 0.194 0.418
O1 O 0.000 0.382 0.431

Most stable structure among those shown: i.